# 1
The following is a PBE calculation of a relaxed structure of SiOs2S, from Alexandria via LeMat-Bulk.

The structure in extended XYZ format:
```
8
Lattice="-3.856 -0.054 3.679 3.399 -2.094 3.532 1.137 3.675 5.106" Properties=species:S:1:pos:R:3 pbc="T T T"
S 0.000 0.000 0.000
S -1.474 1.274 6.196
Os -1.769 0.623 4.083
Os 1.995 -0.396 3.878
Os 0.621 1.988 6.471
Os 0.514 0.840 10.202
Si -0.229 -1.074 3.605
Si 2.154 0.254 6.122
```

Energy above the lowest structure with this stoichiometry in eV per atom: 0.033
Energy relative to the elements, uncorrected in eV per atom: 0.3460
Space group: I-42d (122)

=====

# 2
The following is a PBE calculation of a relaxed structure of Np4CrGe8, from Alexandria via LeMat-Bulk.

The structure in extended XYZ format:
```
13
Lattice="4.022 0.000 0.000 0.000 4.238 0.000 0.000 0.000 15.501" Properties=species:S:1:pos:R:3 pbc="T T T"
Np 0.000 0.000 1.452
Np 0.000 2.119 9.399
Np 2.011 2.119 6.192
Np 2.011 0.000 13.904
Cr 0.000 0.000 4.835
Ge 0.000 0.000 7.233
Ge 0.000 2.119 14.501
Ge 2.011 2.119 0.794
Ge 2.011 0.000 8.943
Ge 0.000 2.119 3.591
Ge 0.000 0.000 11.624
Ge 2.011 0.000 3.538
Ge 2.011 2.119 11.696
```

ΔE_f in eV/f.u.: -0.993
Space group: Pmm2 (25)

=====

# 3
The following is a PBE calculation of a relaxed structure of KNaLi2Tl, from Alexandria via LeMat-Bulk.

The structure in extended XYZ format:
```
5
Lattice="5.492 0.000 0.000 0.000 5.492 0.000 0.000 0.000 5.930" Properties=species:S:1:pos:R:3 pbc="T T T"
Na 0.000 0.000 2.965
Tl 0.000 0.000 0.000
K 2.746 2.746 2.965
Li 0.000 2.746 0.000
Li 2.746 0.000 0.000
```

ΔE_f in eV/f.u.: 0.105
Space group: P4/mmm (123)

=====

# 4
The following is a PBE calculation of a relaxed structure of Cu2Ag2Hg, from Alexandria via LeMat-Bulk.

The structure in extended XYZ format:
```
10
Lattice="-5.345 -1.502 -4.250 -1.896 -5.232 4.234 -2.028 2.177 1.782" Properties=species:S:1:pos:R:3 pbc="T T T"
Cu -3.648 -5.127 2.111
Cu -5.855 -4.592 -1.054
Cu -3.593 -1.607 -2.127
Cu -1.387 -2.142 1.038
Hg 0.000 0.000 0.000
Hg -3.621 -3.367 -0.008
Ag -3.157 -2.639 3.005
Ag -6.152 -4.279 1.599
Ag -6.112 -1.918 -1.240
Ag -3.117 -0.278 0.166
```

ΔE_f in eV/f.u.: 0.757
Energy above the lowest structure with this stoichiometry in eV per atom: 0.000
Space group: P4/mbm (127)

=====

# 5
The following is a PBE calculation of a relaxed structure of Ac4Tl3Cu, from Alexandria via LeMat-Bulk.

The structure in extended XYZ format:
```
8
Lattice="3.904 0.000 0.000 0.000 3.904 0.000 0.000 0.000 17.451" Properties=species:S:1:pos:R:3 pbc="T T T"
Ac 0.000 0.000 15.616
Ac 0.000 0.000 1.836
Ac 0.000 0.000 6.421
Ac 0.000 0.000 11.030
Tl 1.952 1.952 4.114
Tl 1.952 1.952 8.726
Tl 1.952 1.952 13.337
Cu 1.952 1.952 0.000
```

ΔE_f in eV/f.u.: -2.266
Energy above the lowest structure with this stoichiometry in eV per atom: 0.000
Space group: P4/mmm (123)

=====

# 6
The following is a PBE calculation of a relaxed structure of BaY2Te, from Alexandria via LeMat-Bulk.

The structure in extended XYZ format:
```
4
Lattice="-5.714 -0.385 0.774 -2.141 -0.990 5.275 -2.824 4.189 2.805" Properties=species:S:1:pos:R:3 pbc="T T T"
Ba -5.339 1.407 4.427
Te -8.009 2.111 6.641
Y 0.000 0.000 0.000
Y -2.670 0.704 2.214
```

Energy relative to the elements, uncorrected in eV per atom: -0.1189
Space group: F-43m (216)

=====

# 7
The following is a PBE calculation of a relaxed structure of LiCdRh2, from Alexandria via LeMat-Bulk.

The structure in extended XYZ format:
```
4
Lattice="4.274 0.000 0.000 0.000 2.774 0.012 0.000 1.249 5.085" Properties=species:S:1:pos:R:3 pbc="T T T"
Li 2.137 3.017 3.823
Rh 0.000 3.734 4.964
Rh 0.000 2.299 2.683
Cd 2.137 1.006 1.274
```

ΔE_f in eV/f.u.: -0.404
Space group: P2/m (10)

=====

# 8
The following is a PBE calculation of a relaxed structure of ThIr2Rh, from Alexandria via LeMat-Bulk.

The structure in extended XYZ format:
```
12
Lattice="1.516 2.516 4.472 0.838 -2.791 4.487 9.346 -1.191 0.703" Properties=species:S:1:pos:R:3 pbc="T T T"
Th 5.917 -0.733 8.009
Th 5.783 -0.734 1.653
Th 0.000 0.000 0.000
Ir 3.287 -0.409 3.910
Ir 4.048 0.855 6.155
Ir 3.708 -1.810 6.163
Ir 8.412 -1.058 5.752
Ir 7.991 0.344 3.499
Ir 7.651 -2.321 3.507
Rh 10.910 -1.374 6.677
Rh 0.790 -0.092 2.985
Rh 5.850 -0.733 4.831
```

ΔE_f in eV/f.u.: -2.786
Space group: R-3m (166)

=====

How do the records compare in volume? In the order shown, they have 18.34, 20.33, 35.77, 16.95, 33.25, 34.11, 15.06, 18.44 Å³ per atom.